! PBE TbDyCo2Si2C, relaxed; values from VASP
! - E: -6.9018 eV/atom
! - Space group: Cm
! - Total magnetization: 0.02 Bohr magnetons per cell
&SYSTEM
  ibrav = 0, nat = 7, ntyp = 5
/
ATOMIC_SPECIES
Si 28.09 Si.upf
Co 58.93 Co.upf
Tb 158.93 Tb.upf
Dy 162.50 Dy.upf
C 12.01 C.upf
ATOMIC_POSITIONS angstrom
Si -1.4156 0.0000 3.7024
Si 7.6411 0.0000 1.5376
Co 1.7214 0.0000 0.4578
Co 4.5040 0.0000 4.7902
Tb 1.5538 0.0000 3.6836
Dy 4.6681 0.0000 1.5562
C -0.0014 0.0000 0.0094
CELL_PARAMETERS angstrom
5.2934 -1.9454 0.0000
5.2934 1.9454 0.0000
-4.3630 0.0000 5.2457